[1]
Computed, not measured: crystalline Pr2US2N2 at its relaxed geometry at the GGA-PBE level of DFT.

Values from the calculation:
Uncorrected energy = -8.121 eV/atom
Size of the total moment = 1.73 μB per formula unit
Calculated volume = 280.30 Å³/cell

a b c (Å): 4.2995 4.2995 15.1630
angles (deg): 90.00 90.00 90.00
Space group I4/mmm (No. 139)
Asymmetric unit:
Pr  0.0000  0.0000  0.1307
U  0.0000  0.0000  0.5000
S  0.0000  0.0000  0.3207
N  0.0000  0.5000  0.0000

[2]
Computed, not measured: crystalline ReBiH3 at its relaxed geometry at the GGA-PBE level of DFT.

Values from the calculation:
Distance to the lowest polymorph of the same formula = 1328 meV/atom
Uncorrected energy = -3.392 eV/atom
Size of the total moment = 0.00 μB per formula unit
Calculated volume = 62.36 Å³/cell

a b c (Å): 3.9656 3.9656 3.9656
angles (deg): 90.00 90.00 90.00
Space group Pm-3m (No. 221)
Asymmetric unit:
Re  0.0000  0.0000  0.0000
Bi  0.5000  0.5000  0.5000
H  0.0000  0.5000  0.5000

[3]
Computed, not measured: crystalline KYSe at its relaxed geometry at the GGA-PBE level of DFT.

Values from the calculation:
Distance to the lowest polymorph of the same formula = 606 meV/atom
Uncorrected energy = -4.181 eV/atom
Size of the total moment = 0.00 μB per formula unit
Calculated volume = 363.22 Å³/cell

a b c (Å): 7.1349 7.1349 7.1349
angles (deg): 90.00 90.00 90.00
Space group F-43m (No. 216)
Asymmetric unit:
K  0.0000  0.0000  0.0000
Y  0.0000  0.0000  0.5000
Se  0.2500  0.2500  0.7500